# 1
A relaxed structure of SrCa2Pb, computed with PBE.

Output
Symmetry   P4/mmm, No. 123
ΔE_f   -0.276 eV per atom
Magnetization   0.0 μB/cell
DOS at the Fermi energy   0.65 states/eV/atom
Final energy   -10.5 eV/f.u.

Lattice parameters (Å, degrees): 3.909 3.909 10.195 90.00 90.00 90.00
Fractional positions:
Sr (0.000, 0.000, 0.000)
Ca (0.500, 0.500, 0.307)
Ca (0.500, 0.500, 0.693)
Pb (0.000, 0.000, 0.500)


# 2
A relaxed structure of SrCa2Pb, computed with PBE.

Output
Symmetry   I-42d, No. 122
ΔE_f   -0.053 eV per atom
Magnetization   0.0 μB/cell
DOS at the Fermi energy   0.87 states/eV/atom
Final energy   -9.6 eV/f.u.

Lattice parameters (Å, degrees): 12.778 12.778 12.778 157.28 157.28 32.35
Fractional positions:
Sr (0.000, 0.000, 0.000)
Sr (0.750, 0.250, 0.500)
Ca (0.150, 0.625, 0.025)
Ca (0.375, 0.400, 0.525)
Ca (0.600, 0.125, 0.975)
Ca (0.875, 0.850, 0.475)
Pb (0.250, 0.750, 0.500)
Pb (0.500, 0.500, 0.000)


# 3
A relaxed structure of SrCa2Pb, computed with PBE.

Output
Symmetry   R-3m, No. 166
ΔE_f   -0.172 eV per atom
Magnetization   0.0 μB/cell
DOS at the Fermi energy   1.01 states/eV/atom
Final energy   -10.1 eV/f.u.

Lattice parameters (Å, degrees): 11.906 11.906 11.906 19.27 19.27 19.27
Fractional positions:
Sr (0.000, 0.000, 0.000)
Ca (0.234, 0.234, 0.234)
Ca (0.766, 0.766, 0.766)
Pb (0.500, 0.500, 0.500)


# 4
A relaxed structure of Sr2CaPb, computed with PBE.

Output
Symmetry   Pmm2, No. 25
ΔE_f   -0.249 eV per atom
Magnetization   0.0 μB/cell
DOS at the Fermi energy   0.68 states/eV/atom
Final energy   -10.1 eV/f.u.

Lattice parameters (Å, degrees): 4.041 4.686 8.647 90.00 90.00 90.00
Fractional positions:
Sr (0.000, 0.000, 0.000)
Sr (0.500, 0.500, 0.325)
Ca (0.000, 0.000, 0.602)
Pb (0.500, 0.500, 0.772)


# 5
A relaxed structure of SrCa2Pb, computed with PBE.

Output
Symmetry   I4/mmm, No. 139
ΔE_f   -0.241 eV per atom
Magnetization   0.0 μB/cell
DOS at the Fermi energy   1.04 states/eV/atom
Final energy   -10.4 eV/f.u.

Lattice parameters (Å, degrees): 6.430 6.430 6.430 131.99 131.99 70.24
Fractional positions:
Sr (0.000, 0.000, 0.000)
Ca (0.250, 0.750, 0.500)
Ca (0.750, 0.250, 0.500)
Pb (0.500, 0.500, 0.000)


# 6
A relaxed structure of SrCa4Pb15, computed with PBE.

Output
Symmetry   P4/mmm, No. 123
ΔE_f   -0.319 eV per atom
Magnetization   0.0 μB/cell
DOS at the Fermi energy   0.45 states/eV/atom
Final energy   -71.7 eV/f.u.

Lattice parameters (Å, degrees): 4.993 4.993 24.446 90.00 90.00 90.00
Fractional positions:
Sr (0.000, 0.000, 0.000)
Ca (0.000, 0.000, 0.202)
Ca (0.000, 0.000, 0.401)
Ca (0.000, 0.000, 0.599)
Ca (0.000, 0.000, 0.798)
Pb (0.000, 0.500, 0.104)
Pb (0.000, 0.500, 0.301)
Pb (0.000, 0.500, 0.500)
Pb (0.000, 0.500, 0.699)
Pb (0.000, 0.500, 0.896)
Pb (0.500, 0.000, 0.104)
Pb (0.500, 0.000, 0.301)
Pb (0.500, 0.000, 0.500)
Pb (0.500, 0.000, 0.699)
Pb (0.500, 0.000, 0.896)
Pb (0.500, 0.500, 0.000)
Pb (0.500, 0.500, 0.202)
Pb (0.500, 0.500, 0.401)
Pb (0.500, 0.500, 0.599)
Pb (0.500, 0.500, 0.798)


# 7
A relaxed structure of Sr2CaPb, computed with PBE.

Output
Symmetry   Pm, No. 6
ΔE_f   -0.262 eV per atom
Magnetization   0.0 μB/cell
DOS at the Fermi energy   0.61 states/eV/atom
Final energy   -10.1 eV/f.u.

Lattice parameters (Å, degrees): 4.155 5.455 7.486 90.00 106.03 90.00
Fractional positions:
Sr (0.000, 0.000, 0.000)
Sr (0.335, 0.500, 0.671)
Ca (0.617, 0.500, 0.233)
Pb (0.741, 0.000, 0.484)


# 8
A relaxed structure of Sr2CaPb, computed with PBE.

Output
Symmetry   I4/mmm, No. 139
ΔE_f   -0.252 eV per atom
Magnetization   0.0 μB/cell
DOS at the Fermi energy   0.71 states/eV/atom
Final energy   -10.1 eV/f.u.

Lattice parameters (Å, degrees): 6.379 6.379 6.379 129.01 129.01 74.99
Fractional positions:
Sr (0.250, 0.750, 0.500)
Sr (0.750, 0.250, 0.500)
Ca (0.000, 0.000, 0.000)
Pb (0.500, 0.500, 0.000)


- ΔE_f of number 1 (SrCa2Pb)?
  -0.276 eV per atom


- final energy of number 5 (SrCa2Pb)?
  -10.4 eV/f.u.